1.
A plane-wave DFT calculation with meta-GGA SCAN was carried out for a crystal of Zn2GaSb2 relaxed with PBEsol.

Unit cell a=3.8499 b=3.8499 c=14.9081 alpha=90.00 beta=90.00 gamma=90.00
Space group I4/mmm (No. 139)
Inequivalent atoms, fractional coordinates:
Zn: 0.0000 0.5000 0.2500 x4
Ga: 0.0000 0.0000 0.0000 x2
Sb: 0.0000 0.0000 0.3820 x4

DOS(E_F) ... 3.88 states/eV/cell
Crystal system ... tetragonal
Calculated density ... 6.7 g cm⁻³
Total magnetization ... 0.00 μB per atom
Raw total energy ... -234.5 eV for the cell shown
Uncorrected formation energy ... 13 kJ per mole of atoms

2.
A plane-wave DFT calculation with meta-GGA SCAN was carried out for a crystal of Zr2Ga2Sb relaxed with PBEsol.

Unit cell a=3.6520 b=3.6520 c=15.2201 alpha=90.00 beta=90.00 gamma=90.00
Space group I4/mmm (No. 139)
Inequivalent atoms, fractional coordinates:
Zr: 0.0000 0.0000 0.1023 x4
Ga: 0.0000 0.5000 0.2500 x4
Sb: 0.0000 0.0000 0.5000 x2

DOS(E_F) ... 3.69 states/eV/cell
Crystal system ... tetragonal
Calculated density ... 7.3 g cm⁻³
Total magnetization ... 0.00 μB per atom
Raw total energy ... -267.3 eV for the cell shown
Uncorrected formation energy ... -45 kJ per mole of atoms

3.
A plane-wave DFT calculation with meta-GGA SCAN was carried out for a crystal of Sc3Ga5 relaxed with PBEsol.

Unit cell a=10.8398 b=9.1345 c=5.6704 alpha=90.00 beta=90.00 gamma=90.00
Space group Pnma (No. 62)
Inequivalent atoms, fractional coordinates:
Sc: 0.0644 0.2500 0.1505 x4
Sc: 0.1455 0.5059 0.6088 x8
Ga: 0.0061 0.2500 0.6196 x4
Ga: 0.0953 0.5485 0.1236 x8
Ga: 0.2089 0.7500 0.8780 x4
Ga: 0.2498 0.2500 0.8436 x4

DOS(E_F) ... 14.49 states/eV/cell
Calculated formation energy ... -0.71 eV/atom
Crystal system ... orthorhombic
Calculated density ... 5.7 g cm⁻³
Total magnetization ... 0.00 μB per atom
Raw total energy ... -520.6 eV for the cell shown